No. 1
Computed, not measured: a geometry-optimized Rb2NpTi3O12 structure at the GGA-PBE level of DFT.

Computed properties:
Total magnetization = 0.140 μB per atom
Energy relative to the elements, uncorrected = -2.31 eV per atom
ρ = 4.3 g/cm³

Cell: 7.551 7.551 7.551 Å, 57.69 57.69 57.69°
Fractional positions:
1 O 0.310 0.937 0.310
2 O 0.063 0.690 0.690
3 O 0.318 0.936 0.936
4 O 0.936 0.318 0.936
5 O 0.682 0.064 0.064
6 O 0.937 0.310 0.310
7 O 0.690 0.690 0.063
8 O 0.690 0.063 0.690
9 O 0.310 0.310 0.937
10 O 0.064 0.064 0.682
11 O 0.064 0.682 0.064
12 O 0.936 0.936 0.318
13 Ti 0.500 0.000 0.000
14 Ti 0.000 0.500 0.000
15 Ti 0.000 0.000 0.500
16 Np 0.000 0.000 0.000
17 Rb 0.383 0.383 0.383
18 Rb 0.617 0.617 0.617



No. 2
Computed, not measured: a geometry-optimized KGaAu structure at the GGA-PBE level of DFT.

Computed properties:
Total magnetization = 0.000 μB per atom
Energy relative to the elements = -0.260 eV/atom
ρ = 6.2 g/cm³

Cell: 5.029 5.159 6.533 Å, 104.11 90.00 90.00°
Fractional positions:
1 Ga 0.250 0.847 0.501
2 Ga 0.750 0.153 0.499
3 Au 0.750 0.628 0.413
4 Au 0.250 0.372 0.587
5 K 0.250 0.266 0.078
6 K 0.750 0.734 0.922



No. 3
Computed, not measured: a geometry-optimized TiNiSn3 structure at the GGA-PBE level of DFT.

Computed properties:
Total magnetization = 0.227 μB per atom
E above lowest polymorph = 314.0 meV/atom
Energy relative to the elements = 0.747 eV/atom
ρ = 5.4 g/cm³

Cell: 5.236 5.236 5.236 Å, 90.00 90.00 90.00°
Fractional positions:
1 Sn 0.500 0.000 0.000
2 Sn 0.000 0.000 0.500
3 Sn 0.000 0.500 0.000
4 Ti 0.000 0.000 0.000
5 Ni 0.500 0.500 0.500